Here is an optimized crystal structure of Gd3Ag4Ge4 from OQMD. Energies are from PBE.

Computed properties:
The total energy is -49.73 eV per cell. For the magnetization, the calculation gives 0.02 Bohr magnetons per cell.

```
Gd3Ag4Ge4
1.0
-2.184 3.581 7.303
2.184 -3.581 7.303
2.184 3.581 -7.303
Gd Ag Ge
3 4 4
direct
0.000 0.000 0.000 Gd
0.373 0.873 0.500 Gd
0.627 0.127 0.500 Gd
0.028 0.331 0.697 Ag
0.366 0.669 0.697 Ag
0.634 0.331 0.303 Ag
0.972 0.669 0.303 Ag
0.216 0.216 0.000 Ge
0.317 0.500 0.817 Ge
0.683 0.500 0.183 Ge
0.784 0.784 0.000 Ge
```